Here is a geometry-optimized PtI2Cl structure from Alexandria. Energies are from PBE-GGA.

Cell and atoms, written as extended XYZ:
```
16
Lattice="6.4767 0.0000 0.0000 0.0000 7.0016 -0.0004 0.0000 0.0005 11.2250" Properties=species:S:1:pos:R:3 pbc="T T T"
Pt 0.0001 1.7507 6.6458
Pt 6.4766 5.2514 4.5788
Pt 3.2384 1.7508 10.1915
Pt 3.2383 5.2512 1.0331
I 4.6980 6.5186 10.2998
I 1.7787 0.4835 0.9248
I 1.4596 3.9845 6.5372
I 5.0170 3.0175 4.6875
I 4.6978 3.0173 0.9249
I 1.7789 3.9847 10.2998
I 1.4595 0.4837 4.6874
I 5.0172 6.5184 6.5372
Cl 1.6188 4.3831 2.8059
Cl 4.8578 2.6190 8.4187
Cl 4.8572 6.1195 2.8060
Cl 1.6195 0.8825 8.4186
```

ΔE_f (raw)	-0.15	eV/atom
distance to the lowest polymorph of the same formula	0	meV per atom
crystal system	orthorhombic